Ta2Ir2Pt (GGA-PBE, optimized geometry); ρ = 18.665 g cm⁻³; formation energy = -50.3 kJ per mole of atoms
1.0
7.512 0.000 0.000
0.000 7.512 0.000
0.000 0.000 2.968
Ta Ir Pt
4 4 2
direct
0.167 0.333 0.000 Ta
0.333 0.833 0.000 Ta
0.667 0.167 0.000 Ta
0.833 0.667 0.000 Ta
0.132 0.632 0.500 Ir
0.368 0.132 0.500 Ir
0.632 0.868 0.500 Ir
0.868 0.368 0.500 Ir
0.000 0.000 0.500 Pt
0.500 0.500 0.500 Pt